# CaHgAsSe2, optimized geometry, DFT PBE-GGA
data_CaHgAsSe2
_cell_length_a 5.368
_cell_length_b 5.368
_cell_length_c 5.087
_cell_angle_alpha 90.00
_cell_angle_beta 90.00
_cell_angle_gamma 90.00
_space_group_name_H-M_alt 'P 4/m m m'
_space_group_IT_number 123
_space_group_name_Hall '-P 4 2'
loop_
_atom_site_label
_atom_site_fract_x
_atom_site_fract_y
_atom_site_fract_z
Ca1 0.000 0.000 0.000
Hg1 0.500 0.500 0.500
As1 0.500 0.500 0.000
Se1 0.000 0.500 0.500
# volume = 29.3 A^3/atom
# uncorrected formation energy = 11 meV/atom
# distance to the lowest polymorph of the same formula = 0.000 eV per atom

# CaHgAsSe2, optimized geometry, DFT PBE-GGA
data_CaHgAsSe2
_cell_length_a 5.443
_cell_length_b 5.443
_cell_length_c 5.643
_cell_angle_alpha 90.00
_cell_angle_beta 90.00
_cell_angle_gamma 90.00
_space_group_name_H-M_alt 'P 4/m m m'
_space_group_IT_number 123
_space_group_name_Hall '-P 4 2'
loop_
_atom_site_label
_atom_site_fract_x
_atom_site_fract_y
_atom_site_fract_z
Ca1 0.000 0.000 0.000
Hg1 0.500 0.500 0.500
As1 0.000 0.000 0.500
Se1 0.000 0.500 0.000
# volume = 33.4 A^3/atom
# uncorrected formation energy = 271 meV/atom
# distance to the lowest polymorph of the same formula = 0.260 eV per atom

# SrCaHgAs, optimized geometry, DFT PBE-GGA
data_SrCaHgAs
_cell_length_a 7.653
_cell_length_b 7.653
_cell_length_c 7.653
_cell_angle_alpha 90.00
_cell_angle_beta 90.00
_cell_angle_gamma 90.00
_space_group_name_H-M_alt 'F -4 3 m'
_space_group_IT_number 216
_space_group_name_Hall 'F -4 2 3'
loop_
_atom_site_label
_atom_site_fract_x
_atom_site_fract_y
_atom_site_fract_z
Sr1 0.000 0.000 0.000
Ca1 0.000 0.000 0.500
Hg1 0.250 0.250 0.250
As1 0.250 0.250 0.750
# volume = 28.0 A^3/atom
# total energy = -2.8964 eV/atom

# CaTcHg2As, optimized geometry, DFT PBE-GGA
data_CaTcHg2As
_cell_length_a 5.579
_cell_length_b 5.579
_cell_length_c 5.388
_cell_angle_alpha 90.00
_cell_angle_beta 90.00
_cell_angle_gamma 90.00
_space_group_name_H-M_alt 'P 4/m m m'
_space_group_IT_number 123
_space_group_name_Hall '-P 4 2'
loop_
_atom_site_label
_atom_site_fract_x
_atom_site_fract_y
_atom_site_fract_z
Ca1 0.000 0.000 0.000
Tc1 0.500 0.500 0.500
Hg1 0.000 0.500 0.000
As1 0.000 0.000 0.500
# volume = 33.5 A^3/atom
# total energy = -2.3745 eV/atom

# CaHoAs2, optimized geometry, DFT PBE-GGA
data_CaHoAs2
_cell_length_a 4.2791
_cell_length_b 4.2791
_cell_length_c 20.0601
_cell_angle_alpha 90.00
_cell_angle_beta 90.00
_cell_angle_gamma 120.00
_space_group_name_H-M_alt 'R 3 m'
_space_group_IT_number 160
_space_group_name_Hall 'R 3 -2"'
loop_
_atom_site_label
_atom_site_fract_x
_atom_site_fract_y
_atom_site_fract_z
Ca1 0.0000 0.0000 0.0000
Ho1 0.0000 0.0000 0.1736
As1 0.0000 0.0000 0.4261
As2 0.0000 0.0000 0.5808
# volume = 26.5 A^3/atom
# distance to the lowest polymorph of the same formula = 0.108 eV per atom

# CaHoAs, optimized geometry, DFT PBE-GGA
data_CaHoAs
_cell_length_a 3.595
_cell_length_b 5.658
_cell_length_c 16.964
_cell_angle_alpha 90.00
_cell_angle_beta 90.00
_cell_angle_gamma 90.00
_space_group_name_H-M_alt 'I m m m'
_space_group_IT_number 71
_space_group_name_Hall '-I 2 2'
loop_
_atom_site_label
_atom_site_fract_x
_atom_site_fract_y
_atom_site_fract_z
Ca1 0.000 0.000 0.176
Ho1 0.000 0.244 0.500
As1 0.000 0.000 0.350
# volume = 28.8 A^3/atom
# total energy = -4.1521 eV/atom

# CaHo5As6, optimized geometry, DFT PBE-GGA
data_CaHo5As6
_cell_length_a 7.129
_cell_length_b 12.363
_cell_length_c 7.151
_cell_angle_alpha 90.00
_cell_angle_beta 109.42
_cell_angle_gamma 90.00
_space_group_name_H-M_alt 'C 1 2/m 1'
_space_group_IT_number 12
loop_
_space_group_symop_operation_xyz
'x,y,z'
'-x,-y,-z'
'-x,y,-z'
'x,-y,z'
'x+1/2,y+1/2,z'
'-x+1/2,-y+1/2,-z'
'-x+1/2,y+1/2,-z'
'x+1/2,-y+1/2,z'
loop_
_atom_site_label
_atom_site_fract_x
_atom_site_fract_y
_atom_site_fract_z
Ca1 0.000 0.000 0.000
Ho1 0.000 0.165 0.500
Ho2 0.000 0.333 0.000
Ho3 0.000 0.500 0.500
As1 0.245 0.500 0.253
As2 0.246 0.330 0.747
# volume = 24.8 A^3/atom
# total energy = -5.8270 eV/atom

# CaHoAs2, optimized geometry, DFT PBE-GGA
data_CaHoAs2
_cell_length_a 4.1157
_cell_length_b 4.1157
_cell_length_c 21.0424
_cell_angle_alpha 90.00
_cell_angle_beta 90.00
_cell_angle_gamma 120.00
_space_group_name_H-M_alt 'R -3 m'
_space_group_IT_number 166
_space_group_name_Hall '-R 3 2"'
loop_
_atom_site_label
_atom_site_fract_x
_atom_site_fract_y
_atom_site_fract_z
Ca1 0.0000 0.0000 0.0000
Ho1 0.0000 0.0000 0.5000
As1 0.0000 0.0000 0.2453
# volume = 25.7 A^3/atom
# distance to the lowest polymorph of the same formula = 0.000 eV per atom

# CaNdHo2As4, optimized geometry, DFT PBE-GGA
data_CaNdHo2As4
_cell_length_a 7.223
_cell_length_b 4.171
_cell_length_c 7.277
_cell_angle_alpha 90.00
_cell_angle_beta 109.29
_cell_angle_gamma 90.00
_space_group_name_H-M_alt 'P 1 2/m 1'
_space_group_IT_number 10
loop_
_space_group_symop_operation_xyz
'x,y,z'
'-x,-y,-z'
'-x,y,-z'
'x,-y,z'
loop_
_atom_site_label
_atom_site_fract_x
_atom_site_fract_y
_atom_site_fract_z
Ca1 0.000 0.000 0.000
Nd1 0.500 0.500 0.000
Ho1 0.000 0.500 0.500
Ho2 0.500 0.000 0.500
As1 0.246 0.000 0.739
As2 0.255 0.500 0.262
# volume = 25.9 A^3/atom
# total energy = -5.6746 eV/atom

# CaHoNp2As4, optimized geometry, DFT PBE-GGA
data_CaHoNp2As4
_cell_length_a 7.156
_cell_length_b 4.128
_cell_length_c 7.180
_cell_angle_alpha 90.00
_cell_angle_beta 109.39
_cell_angle_gamma 90.00
_space_group_name_H-M_alt 'P 1 2/m 1'
_space_group_IT_number 10
loop_
_space_group_symop_operation_xyz
'x,y,z'
'-x,-y,-z'
'-x,y,-z'
'x,-y,z'
loop_
_atom_site_label
_atom_site_fract_x
_atom_site_fract_y
_atom_site_fract_z
Ca1 0.000 0.000 0.000
Ho1 0.000 0.500 0.500
Np1 0.500 0.000 0.500
Np2 0.500 0.500 0.000
As1 0.255 0.000 0.747
As2 0.261 0.500 0.259
# volume = 25.0 A^3/atom
# total energy = -7.3536 eV/atom

# CaHo2NpAs4, optimized geometry, DFT PBE-GGA
data_CaHo2NpAs4
_cell_length_a 7.137
_cell_length_b 4.127
_cell_length_c 7.141
_cell_angle_alpha 90.00
_cell_angle_beta 108.98
_cell_angle_gamma 90.00
_space_group_name_H-M_alt 'P 1 2/m 1'
_space_group_IT_number 10
loop_
_space_group_symop_operation_xyz
'x,y,z'
'-x,-y,-z'
'-x,y,-z'
'x,-y,z'
loop_
_atom_site_label
_atom_site_fract_x
_atom_site_fract_y
_atom_site_fract_z
Ca1 0.000 0.000 0.000
Ho1 0.000 0.500 0.500
Ho2 0.500 0.000 0.500
Np1 0.500 0.500 0.000
As1 0.255 0.000 0.750
As2 0.261 0.500 0.252
# volume = 24.9 A^3/atom
# total energy = -6.5290 eV/atom

# Ca3Ho2NpAs6, optimized geometry, DFT PBE-GGA
data_Ca3Ho2NpAs6
_cell_length_a 7.178
_cell_length_b 12.425
_cell_length_c 7.261
_cell_angle_alpha 90.00
_cell_angle_beta 109.23
_cell_angle_gamma 90.00
_space_group_name_H-M_alt 'C 1 2/m 1'
_space_group_IT_number 12
loop_
_space_group_symop_operation_xyz
'x,y,z'
'-x,-y,-z'
'-x,y,-z'
'x,-y,z'
'x+1/2,y+1/2,z'
'-x+1/2,-y+1/2,-z'
'-x+1/2,y+1/2,-z'
'x+1/2,-y+1/2,z'
loop_
_atom_site_label
_atom_site_fract_x
_atom_site_fract_y
_atom_site_fract_z
Ca1 0.000 0.000 0.000
Ca2 0.000 0.330 0.000
Ho1 0.000 0.166 0.500
Np1 0.000 0.500 0.500
As1 0.237 0.340 0.731
As2 0.243 0.500 0.270
# volume = 25.5 A^3/atom
# total energy = -5.8234 eV/atom

# CaHoAs2O8, optimized geometry, DFT PBE-GGA
data_CaHoAs2O8
_cell_length_a 5.076
_cell_length_b 5.076
_cell_length_c 11.480
_cell_angle_alpha 90.00
_cell_angle_beta 90.00
_cell_angle_gamma 90.00
_space_group_name_H-M_alt 'I -4'
_space_group_IT_number 82
loop_
_space_group_symop_operation_xyz
'x,y,z'
'y,-x,-z'
'-x,-y,z'
'-y,x,-z'
'x+1/2,y+1/2,z+1/2'
'y+1/2,-x+1/2,-z+1/2'
'-x+1/2,-y+1/2,z+1/2'
'-y+1/2,x+1/2,-z+1/2'
loop_
_atom_site_label
_atom_site_fract_x
_atom_site_fract_y
_atom_site_fract_z
Ca1 0.000 0.000 0.000
Ho1 0.000 0.500 0.750
As1 0.000 0.000 0.500
As2 0.000 0.500 0.250
O1 0.138 0.251 0.582
O2 0.150 0.752 0.173
# volume = 12.3 A^3/atom
# uncorrected formation energy = -2039 meV/atom

# CaHo2PaAs4, optimized geometry, DFT PBE-GGA
data_CaHo2PaAs4
_cell_length_a 7.125
_cell_length_b 4.132
_cell_length_c 7.126
_cell_angle_alpha 90.00
_cell_angle_beta 109.17
_cell_angle_gamma 90.00
_space_group_name_H-M_alt 'P 1 2/m 1'
_space_group_IT_number 10
loop_
_space_group_symop_operation_xyz
'x,y,z'
'-x,-y,-z'
'-x,y,-z'
'x,-y,z'
loop_
_atom_site_label
_atom_site_fract_x
_atom_site_fract_y
_atom_site_fract_z
Ca1 0.000 0.000 0.000
Ho1 0.500 0.000 0.500
Ho2 0.500 0.500 0.000
Pa1 0.000 0.500 0.500
As1 0.250 0.000 0.745
As2 0.251 0.500 0.261
# volume = 24.8 A^3/atom
# total energy = -6.2425 eV/atom

# CaHoPa2As4, optimized geometry, DFT PBE-GGA
data_CaHoPa2As4
_cell_length_a 5.816
_cell_length_b 5.816
_cell_length_c 11.698
_cell_angle_alpha 90.00
_cell_angle_beta 90.00
_cell_angle_gamma 90.00
_space_group_name_H-M_alt 'I -4 m 2'
_space_group_IT_number 119
_space_group_name_Hall 'I -4 -2'
loop_
_atom_site_label
_atom_site_fract_x
_atom_site_fract_y
_atom_site_fract_z
Ca1 0.000 0.000 0.000
Ho1 0.000 0.500 0.750
Pa1 0.000 0.000 0.500
Pa2 0.000 0.500 0.250
As1 0.000 0.000 0.254
As2 0.000 0.500 0.002
# volume = 24.7 A^3/atom
# total energy = -6.7262 eV/atom

# Ca4HoPa3As8, optimized geometry, DFT PBE-GGA
data_Ca4HoPa3As8
_cell_length_a 8.3511
_cell_length_b 8.3511
_cell_length_c 20.4766
_cell_angle_alpha 90.00
_cell_angle_beta 90.00
_cell_angle_gamma 120.00
_space_group_name_H-M_alt 'R -3 m'
_space_group_IT_number 166
_space_group_name_Hall '-R 3 2"'
loop_
_atom_site_label
_atom_site_fract_x
_atom_site_fract_y
_atom_site_fract_z
Ca1 0.0000 0.0000 0.0000
Ca2 0.0000 0.5000 0.0000
Ho1 0.0000 0.0000 0.5000
Pa1 0.0000 0.5000 0.5000
As1 0.0000 0.0000 0.2446
As2 0.0045 0.5022 0.7558
# volume = 25.8 A^3/atom
# total energy = -6.1075 eV/atom

# Ca2HoPaAs4, optimized geometry, DFT PBE-GGA
data_Ca2HoPaAs4
_cell_length_a 7.192
_cell_length_b 4.204
_cell_length_c 7.253
_cell_angle_alpha 90.00
_cell_angle_beta 109.31
_cell_angle_gamma 90.00
_space_group_name_H-M_alt 'P 1 2/m 1'
_space_group_IT_number 10
loop_
_space_group_symop_operation_xyz
'x,y,z'
'-x,-y,-z'
'-x,y,-z'
'x,-y,z'
loop_
_atom_site_label
_atom_site_fract_x
_atom_site_fract_y
_atom_site_fract_z
Ca1 0.000 0.000 0.000
Ca2 0.500 0.500 0.000
Ho1 0.000 0.500 0.500
Pa1 0.500 0.000 0.500
As1 0.252 0.000 0.732
As2 0.262 0.500 0.269
# volume = 25.9 A^3/atom
# total energy = -5.8650 eV/atom

# CaPm2HoAs4, optimized geometry, DFT PBE-GGA
data_CaPm2HoAs4
_cell_length_a 7.259
_cell_length_b 4.204
_cell_length_c 7.316
_cell_angle_alpha 90.00
_cell_angle_beta 109.53
_cell_angle_gamma 90.00
_space_group_name_H-M_alt 'P 1 2/m 1'
_space_group_IT_number 10
loop_
_space_group_symop_operation_xyz
'x,y,z'
'-x,-y,-z'
'-x,y,-z'
'x,-y,z'
loop_
_atom_site_label
_atom_site_fract_x
_atom_site_fract_y
_atom_site_fract_z
Ca1 0.000 0.000 0.000
Pm1 0.500 0.000 0.500
Pm2 0.500 0.500 0.000
Ho1 0.000 0.500 0.500
As1 0.245 0.000 0.744
As2 0.249 0.500 0.255
# volume = 26.3 A^3/atom
# total energy = -5.6903 eV/atom

# CaPr2HoAs4, optimized geometry, DFT PBE-GGA
data_CaPr2HoAs4
_cell_length_a 7.300
_cell_length_b 4.252
_cell_length_c 7.392
_cell_angle_alpha 90.00
_cell_angle_beta 109.65
_cell_angle_gamma 90.00
_space_group_name_H-M_alt 'P 1 2/m 1'
_space_group_IT_number 10
loop_
_space_group_symop_operation_xyz
'x,y,z'
'-x,-y,-z'
'-x,y,-z'
'x,-y,z'
loop_
_atom_site_label
_atom_site_fract_x
_atom_site_fract_y
_atom_site_fract_z
Ca1 0.000 0.000 0.000
Pr1 0.500 0.000 0.500
Pr2 0.500 0.500 0.000
Ho1 0.000 0.500 0.500
As1 0.241 0.000 0.742
As2 0.245 0.500 0.254
# volume = 27.0 A^3/atom
# total energy = -5.6786 eV/atom

# CaHo2PuAs4, optimized geometry, DFT PBE-GGA
data_CaHo2PuAs4
_cell_length_a 7.142
_cell_length_b 4.143
_cell_length_c 7.172
_cell_angle_alpha 90.00
_cell_angle_beta 109.14
_cell_angle_gamma 90.00
_space_group_name_H-M_alt 'P 1 2/m 1'
_space_group_IT_number 10
loop_
_space_group_symop_operation_xyz
'x,y,z'
'-x,-y,-z'
'-x,y,-z'
'x,-y,z'
loop_
_atom_site_label
_atom_site_fract_x
_atom_site_fract_y
_atom_site_fract_z
Ca1 0.000 0.000 0.000
Ho1 0.000 0.500 0.500
Ho2 0.500 0.000 0.500
Pu1 0.500 0.500 0.000
As1 0.255 0.000 0.748
As2 0.260 0.500 0.255
# volume = 25.1 A^3/atom
# total energy = -6.7653 eV/atom